{"formula": "CrSbN2O", "functional": "PBE+U", "state": "optimized geometry", "dft_energy_ev_per_atom": -6.322, "spacegroup": "No. 123", "lattice": [[3.837, 0.000, 0.000], [0.000, 3.837, 0.000], [0.000, 0.000, 3.958]], "species": ["Sb", "N", "N", "O", "Cr"], "fractional_positions": [[0.500, 0.500, 0.500], [0.000, 0.500, 0.000], [0.500, 0.000, 0.000], [0.000, 0.000, 0.500], [0.000, 0.000, 0.000]]}